1.
A geometry-optimized ZnMo2Os structure. Source: the Alexandria database, functional GGA-PBEsol.

Computed properties:
formation energy = 104 meV/atom
volume = 58 Å³/cell

Cell: 2.7636 4.4093 4.7385 Å, 90.00 90.01 90.00°
Fractional coordinates of all 4 atoms:
1 Os 0.3750 0.0000 0.4651
2 Mo 0.8751 0.0000 0.9558
3 Zn 0.3749 0.5000 0.7906
4 Mo 0.8749 0.5000 0.2885

2.
A geometry-optimized ScAlSnF2 structure. Source: the Alexandria database, functional GGA-PBEsol.

Computed properties:
volume = 104 Å³/cell
formation energy from raw total energies = -0.938 eV/atom

Cell: 4.3096 4.3096 5.5883 Å, 90.00 90.00 90.00°
Fractional coordinates of all 5 atoms:
1 F 0.0000 0.5000 0.0000
2 Sc 0.5000 0.5000 0.5000
3 Sn 0.0000 0.0000 0.0000
4 Al 0.0000 0.0000 0.5000
5 F 0.5000 0.0000 0.0000